Compound: Nb2B2Mo
Source: the Alexandria database
Functional: PBEsol
Structure: relaxed

CIF file:
```
data_Nb2B2Mo
_chemical_formula_sum 'Nb4 B4 Mo2'
_space_group_name_H-M_alt 'P 4/m b m'
_space_group_IT_number 127
_space_group_name_Hall '-P 4 2ab'
_cell_length_a 6.083
_cell_length_b 6.083
_cell_length_c 3.266
_cell_angle_alpha 90.00
_cell_angle_beta 90.00
_cell_angle_gamma 90.00
loop_
_atom_site_label
_atom_site_fract_x
_atom_site_fract_y
_atom_site_fract_z
Nb1 0.179 0.321 0.000
B1 0.109 0.609 0.500
Mo1 0.000 0.000 0.500
```

Output
- V: 12.1 Å³/atom
- Total moment: 0.0 μB per cell
- E: -101.79 eV/cell